No. 1
This record from Alexandria describes an optimized crystal structure of Nd2Y3Pt4. The functional is PBE.

a = 7.657 Å, b = 7.688 Å, c = 7.870 Å
α = 90.00°, β = 109.00°, γ = 90.00°
Fractional coordinates of all 18 atoms:
1 Nd 0.198 0.178 0.084
2 Nd 0.198 0.322 0.584
3 Nd 0.802 0.678 0.416
4 Nd 0.802 0.822 0.916
5 Y 0.244 0.665 0.249
6 Y 0.244 0.835 0.749
7 Y 0.500 0.000 0.500
8 Y 0.500 0.500 0.000
9 Y 0.756 0.165 0.251
10 Y 0.756 0.335 0.751
11 Pt 0.091 0.536 0.865
12 Pt 0.091 0.964 0.365
13 Pt 0.496 0.133 0.872
14 Pt 0.496 0.367 0.372
15 Pt 0.504 0.633 0.628
16 Pt 0.504 0.867 0.128
17 Pt 0.909 0.036 0.635
18 Pt 0.909 0.464 0.135

Energy of formation   -1123 meV per atom
Calculated volume   438.1 Å³/cell

=====

No. 2
This record from Alexandria describes an optimized crystal structure of SrMnS. The functional is PBE.

a = 4.782 Å, b = 3.838 Å, c = 7.723 Å
α = 90.00°, β = 100.59°, γ = 90.00°
Fractional coordinates of all 6 atoms:
1 Sr 0.000 0.000 0.000
2 Sr 0.377 0.000 0.605
3 Mn 0.581 0.000 0.253
4 Mn 0.843 0.500 0.360
5 S 0.294 0.500 0.287
6 S 0.907 0.500 0.683

Calculated volume   139.3 Å³/cell
Formation energy without anion corrections   -0.704 eV/atom
Distance to the lowest polymorph of the same formula   15.8 kJ/mol of atoms

=====

No. 3
This record from Alexandria describes an optimized crystal structure of Sn2PtAuSe. The functional is PBE.

a = 5.322 Å, b = 5.322 Å, c = 4.965 Å
α = 90.00°, β = 90.00°, γ = 90.00°
Fractional coordinates of all 5 atoms:
1 Sn 0.000 0.500 0.000
2 Sn 0.500 0.000 0.000
3 Pt 0.000 0.000 0.500
4 Au 0.500 0.500 0.000
5 Se 0.500 0.500 0.500

Calculated volume   140.6 Å³/cell
Formation energy without anion corrections   0.695 eV/atom

=====

No. 4
This record from Alexandria describes an optimized crystal structure of PrDyNi2Ge2. The functional is PBE.

a = 4.265 Å, b = 4.265 Å, c = 7.366 Å
α = 90.00°, β = 90.00°, γ = 120.00°
Fractional coordinates of all 6 atoms:
1 Pr 0.000 0.000 0.000
2 Dy 0.000 0.000 0.500
3 Ni 0.333 0.667 0.711
4 Ni 0.667 0.333 0.289
5 Ge 0.333 0.667 0.271
6 Ge 0.667 0.333 0.729

Energy of formation   -726 meV per atom
Calculated volume   116.0 Å³/cell

=====

Q: Look up the calculated volume of the fourth one.
A: 116.0 Å³/cell

=====

Q: calculated volume of number 3 (Sn2PtAuSe)?
A: 140.6 Å³/cell

=====

Please write out number 1 again, unchanged.
This record from Alexandria describes an optimized crystal structure of Nd2Y3Pt4. The functional is PBE.

a = 7.657 Å, b = 7.688 Å, c = 7.870 Å
α = 90.00°, β = 109.00°, γ = 90.00°
Fractional coordinates of all 18 atoms:
1 Nd 0.198 0.178 0.084
2 Nd 0.198 0.322 0.584
3 Nd 0.802 0.678 0.416
4 Nd 0.802 0.822 0.916
5 Y 0.244 0.665 0.249
6 Y 0.244 0.835 0.749
7 Y 0.500 0.000 0.500
8 Y 0.500 0.500 0.000
9 Y 0.756 0.165 0.251
10 Y 0.756 0.335 0.751
11 Pt 0.091 0.536 0.865
12 Pt 0.091 0.964 0.365
13 Pt 0.496 0.133 0.872
14 Pt 0.496 0.367 0.372
15 Pt 0.504 0.633 0.628
16 Pt 0.504 0.867 0.128
17 Pt 0.909 0.036 0.635
18 Pt 0.909 0.464 0.135

Energy of formation   -1123 meV per atom
Calculated volume   438.1 Å³/cell